Entry 1:
This record from Alexandria via LeMat-Bulk describes crystalline Pm3Tm4Tl4 at its relaxed geometry. The functional is PBE.

Cell lengths 4.5931, 8.7147, 9.7262 Å; angles 116.62, 103.66, 90.00 degrees
Last column: nearest neighbours and their distance in Å.
Fractional coordinates of all 11 atoms:
Pm  0.1144  0.1144  0.2289  6 Tl 3.44-3.46, 4 Tm 3.61, 1 Pm 3.84
Tl  0.5000  0.1947  0.0000  2 Tm 3.00
Tm  0.3299  0.1317  0.6598  4 Tl 3.00-3.11
Pm  0.8856  0.8856  0.7711  6 Tl 3.44-3.46, 4 Tm 3.61, 1 Pm 3.84
Tl  0.2314  0.7314  0.4627  6 Tm 3.05-3.11
Tm  0.6701  0.8683  0.3402  4 Tl 3.00-3.11
Tm  0.6701  0.4719  0.3402  4 Tl 3.00-3.11
Pm  0.0000  0.5000  0.0000  6 Tl 3.51-3.88
Tm  0.3299  0.5281  0.6598  4 Tl 3.00-3.11
Tl  0.5000  0.8053  0.0000  2 Tm 3.00
Tl  0.7686  0.2686  0.5373  6 Tm 3.05-3.11

Computed properties:
* volume: 30.5 A^3/atom
* energy: -3.98 eV/atom
* formation energy from the elements: -194 meV/atom


Entry 2:
This record from Alexandria via LeMat-Bulk describes crystalline Pm2Tm4Tl at its relaxed geometry. The functional is PBE.

Cell lengths 5.8677, 6.6094, 11.4774 Å; angles 90.00, 106.00, 90.00 degrees
Last column: nearest neighbours and their distance in Å.
Fractional coordinates of all 14 atoms:
Pm  0.5816  0.7500  0.0227  2 Tl 3.24-3.35, 4 Tm 3.38-3.44, 2 Pm 3.44
Tm  0.9943  0.7500  0.8675  3 Tl 3.22-3.40, 3 Pm 3.36-3.42, 2 Tm 3.59
Tm  0.3728  0.5084  0.7119  4 Tm 3.19-3.52, 1 Tl 3.29, 3 Pm 3.40-3.54
Tm  0.0057  0.2500  0.1325  3 Tl 3.22-3.40, 3 Pm 3.36-3.42, 2 Tm 3.59
Pm  0.4184  0.2500  0.9773  2 Tl 3.24-3.35, 4 Tm 3.38-3.44, 2 Pm 3.44
Tl  0.8553  0.2500  0.8405  6 Tm 3.12-3.40, 2 Pm 3.24-3.35
Pm  0.7294  0.7500  0.5684  9 Tm 3.23-3.54
Pm  0.2706  0.2500  0.4316  9 Tm 3.23-3.54
Tl  0.1447  0.7500  0.1595  6 Tm 3.12-3.40, 2 Pm 3.24-3.35
Tm  0.8589  0.2500  0.5690  1 Tl 3.12, 4 Pm 3.23-3.39, 2 Tm 3.46
Tm  0.1411  0.7500  0.4310  1 Tl 3.12, 4 Pm 3.23-3.39, 2 Tm 3.46
Tm  0.3728  0.9916  0.7119  4 Tm 3.19-3.52, 1 Tl 3.29, 3 Pm 3.40-3.54
Tm  0.6272  0.4916  0.2881  4 Tm 3.19-3.52, 1 Tl 3.29, 3 Pm 3.40-3.54
Tm  0.6272  0.0084  0.2881  4 Tm 3.19-3.52, 1 Tl 3.29, 3 Pm 3.40-3.54

Computed properties:
* volume: 30.6 A^3/atom
* energy: -4.25 eV/atom
* formation energy from the elements: 5 meV/atom


Entry 3:
This record from Alexandria via LeMat-Bulk describes crystalline Pm15Tm4Tl at its relaxed geometry. The functional is PBE.

Cell lengths 5.0659, 5.0659, 25.5332 Å; angles 90.00, 90.00, 90.00 degrees
Last column: nearest neighbours and their distance in Å.
Fractional coordinates of all 20 atoms:
Pm  0.0000  0.5000  0.7009  8 Pm 3.58-3.62, 4 Tm 3.60-3.61
Pm  0.0000  0.5000  0.0980  2 Tl 3.56, 8 Pm 3.56-3.60, 2 Tm 3.61
Pm  0.0000  0.5000  0.2991  8 Pm 3.58-3.62, 4 Tm 3.60-3.61
Pm  0.5000  0.0000  0.0980  2 Tl 3.56, 8 Pm 3.56-3.60, 2 Tm 3.61
Tm  0.0000  0.0000  0.8012  12 Pm 3.58-3.61
Tm  0.0000  0.0000  0.3998  12 Pm 3.58-3.61
Pm  0.5000  0.5000  0.6007  4 Tm 3.58, 8 Pm 3.60-3.61
Pm  0.0000  0.5000  0.5000  8 Pm 3.58-3.61, 4 Tm 3.60
Pm  0.5000  0.5000  0.8020  4 Tm 3.58, 8 Pm 3.60-3.62
Pm  0.5000  0.0000  0.2991  8 Pm 3.58-3.62, 4 Tm 3.60-3.61
Pm  0.5000  0.5000  0.3993  4 Tm 3.58, 8 Pm 3.60-3.61
Pm  0.5000  0.5000  0.1980  4 Tm 3.58, 8 Pm 3.60-3.62
Pm  0.5000  0.0000  0.5000  8 Pm 3.58-3.61, 4 Tm 3.60
Tl  0.0000  0.0000  0.0000  12 Pm 3.56-3.58
Pm  0.0000  0.5000  0.9020  2 Tl 3.56, 8 Pm 3.56-3.60, 2 Tm 3.61
Tm  0.0000  0.0000  0.6002  12 Pm 3.58-3.61
Pm  0.5000  0.0000  0.9020  2 Tl 3.56, 8 Pm 3.56-3.60, 2 Tm 3.61
Pm  0.5000  0.0000  0.7009  8 Pm 3.58-3.62, 4 Tm 3.60-3.61
Pm  0.5000  0.5000  0.0000  8 Pm 3.56, 4 Tl 3.58
Tm  0.0000  0.0000  0.1988  12 Pm 3.58-3.61

Computed properties:
* volume: 32.8 A^3/atom
* energy: -4.60 eV/atom
* formation energy from the elements: -24 meV/atom


Entry 4:
This record from Alexandria via LeMat-Bulk describes crystalline Pm2TmTl9 at its relaxed geometry. The functional is PBE.

Cell lengths 4.7953, 4.7953, 14.3781 Å; angles 90.00, 90.00, 90.00 degrees
Last column: nearest neighbours and their distance in Å.
Fractional coordinates of all 12 atoms:
Tl  0.5000  0.5000  0.3323  4 Pm 3.39, 8 Tl 3.40-3.42
Tl  0.0000  0.5000  0.5000  8 Tl 3.39-3.40, 4 Pm 3.40
Tl  0.0000  0.5000  0.1631  2 Tm 3.35, 8 Tl 3.35-3.42, 2 Pm 3.42
Tl  0.5000  0.0000  0.1631  8 Tl 3.35-3.42, 2 Tm 3.35, 2 Pm 3.42
Pm  0.0000  0.0000  0.3323  12 Tl 3.39-3.42
Pm  0.0000  0.0000  0.6677  12 Tl 3.39-3.42
Tl  0.5000  0.0000  0.8369  8 Tl 3.35-3.42, 2 Tm 3.35, 2 Pm 3.42
Tm  0.0000  0.0000  0.0000  12 Tl 3.35-3.39
Tl  0.5000  0.5000  0.6677  4 Pm 3.39, 8 Tl 3.40-3.42
Tl  0.0000  0.5000  0.8369  8 Tl 3.35-3.42, 2 Tm 3.35, 2 Pm 3.42
Tl  0.5000  0.0000  0.5000  8 Tl 3.39-3.40, 4 Pm 3.40
Tl  0.5000  0.5000  0.0000  8 Tl 3.35, 4 Tm 3.39

Computed properties:
* volume: 27.6 A^3/atom
* energy: -3.20 eV/atom
* formation energy from the elements: -265 meV/atom


Entry 5:
This record from Alexandria via LeMat-Bulk describes crystalline PmTm3Tl at its relaxed geometry. The functional is PBE.

Cell lengths 4.8223, 4.7850, 12.8749 Å; angles 90.00, 79.21, 90.00 degrees
Last column: nearest neighbours and their distance in Å.
Fractional coordinates of all 10 atoms:
Pm  0.1764  0.2500  0.2955  4 Tl 3.40, 8 Tm 3.44-3.53
Tl  0.6711  0.7500  0.3062  4 Pm 3.40, 8 Tm 3.41-3.63
Tm  0.3702  0.2500  0.9080  8 Tm 3.34-3.43, 2 Pm 3.51, 2 Tl 3.63
Pm  0.4719  0.7500  0.7045  4 Tl 3.40, 8 Tm 3.44-3.53
Tl  0.9773  0.2500  0.6938  4 Pm 3.40, 8 Tm 3.41-3.63
Tm  0.7735  0.2500  0.1014  8 Tm 3.40-3.51, 2 Pm 3.44, 2 Tl 3.53
Tm  0.0736  0.7500  0.5012  4 Tm 3.40, 4 Tl 3.41-3.45, 4 Pm 3.53
Tm  0.5748  0.2500  0.4988  4 Tm 3.40, 4 Tl 3.41-3.45, 4 Pm 3.53
Tm  0.2782  0.7500  0.0920  8 Tm 3.34-3.43, 2 Pm 3.51, 2 Tl 3.63
Tm  0.8748  0.7500  0.8986  8 Tm 3.40-3.51, 2 Pm 3.44, 2 Tl 3.53

Computed properties:
* volume: 29.2 A^3/atom
* energy: -4.21 eV/atom
* formation energy from the elements: -107 meV/atom


Entry 6:
This record from Alexandria via LeMat-Bulk describes crystalline PmTm4Tl5 at its relaxed geometry. The functional is PBE.

Cell lengths 3.7275, 3.7275, 19.4402 Å; angles 90.00, 90.00, 90.00 degrees
Last column: nearest neighbours and their distance in Å.
Fractional coordinates of all 10 atoms:
Tl  0.5000  0.5000  0.6954  8 Tm 3.25-3.26
Tl  0.5000  0.5000  0.1080  4 Tm 3.25, 4 Pm 3.37
Tl  0.5000  0.5000  0.8920  4 Tm 3.25, 4 Pm 3.37
Tm  0.0000  0.0000  0.5980  8 Tl 3.25
Tl  0.5000  0.5000  0.5000  8 Tm 3.25
Pm  0.0000  0.0000  0.0000  8 Tl 3.37, 4 Pm 3.73
Tl  0.5000  0.5000  0.3046  8 Tm 3.25-3.26
Tm  0.0000  0.0000  0.2058  8 Tl 3.25-3.26
Tm  0.0000  0.0000  0.4020  8 Tl 3.25
Tm  0.0000  0.0000  0.7942  8 Tl 3.25-3.26

Computed properties:
* volume: 27.0 A^3/atom
* energy: -3.76 eV/atom
* formation energy from the elements: -314 meV/atom


Entry 7:
This record from Alexandria via LeMat-Bulk describes crystalline PmTmTl at its relaxed geometry. The functional is PBE.

Cell lengths 3.6205, 3.6205, 7.2865 Å; angles 104.39, 104.39, 90.00 degrees
Last column: nearest neighbours and their distance in Å.
Fractional coordinates of all 3 atoms:
Pm  0.9576  0.9576  0.9152  4 Tl 3.40, 4 Tm 3.61, 4 Pm 3.62
Tm  0.2710  0.2710  0.5420  4 Tl 3.27, 4 Pm 3.61, 4 Tm 3.62
Tl  0.6214  0.6214  0.2428  4 Tm 3.27, 4 Pm 3.40, 4 Tl 3.62

Computed properties:
* volume: 29.8 A^3/atom
* energy: -4.08 eV/atom
* formation energy from the elements: -218 meV/atom


Entry 8:
This record from Alexandria via LeMat-Bulk describes crystalline Pm3TmTl3 at its relaxed geometry. The functional is PBE.

Cell lengths 5.3243, 9.5552, 9.5552 Å; angles 120.00, 90.00, 90.00 degrees
Last column: nearest neighbours and their distance in Å.
Fractional coordinates of all 14 atoms:
Tl  0.7500  0.4540  0.3804  4 Pm 3.19-3.35, 2 Tl 3.33, 3 Tm 3.46-3.51
Tm  0.7500  0.3333  0.6667  9 Tl 3.46-3.51, 3 Pm 3.70
Pm  0.7500  0.7594  0.7631  4 Tl 3.19-3.35, 4 Pm 3.51
Pm  0.2500  0.7631  0.0037  4 Tl 3.19-3.35, 4 Pm 3.51
Tl  0.7500  0.6196  0.0736  4 Pm 3.19-3.35, 2 Tl 3.33, 3 Tm 3.46-3.51
Tl  0.2500  0.3804  0.9264  4 Pm 3.19-3.35, 2 Tl 3.33, 3 Tm 3.46-3.51
Pm  0.7500  0.2369  0.9963  4 Tl 3.19-3.35, 4 Pm 3.51
Tl  0.2500  0.5460  0.6196  4 Pm 3.19-3.35, 2 Tl 3.33, 3 Tm 3.46-3.51
Tm  0.2500  0.6667  0.3333  9 Tl 3.46-3.51, 3 Pm 3.70
Pm  0.2500  0.9963  0.7594  4 Tl 3.19-3.35, 4 Pm 3.51
Tl  0.7500  0.9264  0.5460  4 Pm 3.19-3.35, 2 Tl 3.33, 3 Tm 3.46-3.51
Pm  0.2500  0.2406  0.2369  4 Tl 3.19-3.35, 4 Pm 3.51
Tl  0.2500  0.0736  0.4540  4 Pm 3.19-3.35, 2 Tl 3.33, 3 Tm 3.46-3.51
Pm  0.7500  0.0037  0.2406  4 Tl 3.19-3.35, 4 Pm 3.51

Computed properties:
* volume: 30.1 A^3/atom
* energy: -3.87 eV/atom
* formation energy from the elements: -185 meV/atom